1.
Density functional theory data (PBE) for crystalline KPaCdBr6 at its relaxed geometry.

POSCAR file:
```
KPaCdBr6
1.0
8.223 0.000 0.000
-4.112 7.122 0.000
0.000 0.000 14.166
K Pa Cd Br
2 2 2 12
direct
0.333 0.667 0.250
0.667 0.333 0.750
0.333 0.667 0.750
0.667 0.333 0.250
0.000 0.000 0.000
0.000 0.000 0.500
0.059 0.399 0.638
0.059 0.660 0.862
0.340 0.399 0.862
0.340 0.941 0.638
0.399 0.059 0.138
0.399 0.340 0.362
0.601 0.660 0.638
0.601 0.941 0.862
0.660 0.059 0.362
0.660 0.601 0.138
0.941 0.340 0.138
0.941 0.601 0.362
```

Results
SG   P-31c
Calculated total energy   -3.70 eV/atom
D(E_F)   4.609 states/eV/cell
E_form (uncorrected)   -1.303 eV per atom
Calculated density   3.45 g/cm3

2.
Density functional theory data (PBE) for crystalline Na2VFeSi at its relaxed geometry.

POSCAR file:
```
Na2VFeSi
1.0
5.248 0.000 0.000
0.000 5.248 0.000
0.000 0.000 4.007
Na V Fe Si
2 1 1 1
direct
0.000 0.500 0.000
0.500 0.000 0.000
0.000 0.000 0.500
0.000 0.000 0.000
0.500 0.500 0.500
```

Results
SG   P4/mmm
Calculated total energy   -3.87 eV/atom
D(E_F)   5.730 states/eV/cell
E_form (uncorrected)   1.257 eV per atom
Calculated density   2.72 g/cm3

3.
Density functional theory data (PBE) for crystalline NaIn3Hg10 at its relaxed geometry.

POSCAR file:
```
NaIn3Hg10
1.0
0.000 7.491 7.491
7.491 0.000 7.491
7.491 7.491 0.000
Na In Hg
2 6 20
direct
0.250 0.250 0.250
0.750 0.750 0.750
0.212 0.212 0.788
0.212 0.788 0.212
0.212 0.788 0.788
0.788 0.212 0.212
0.788 0.212 0.788
0.788 0.788 0.212
0.134 0.134 0.134
0.134 0.134 0.599
0.134 0.599 0.134
0.155 0.500 0.500
0.155 0.500 0.845
0.155 0.845 0.500
0.401 0.866 0.866
0.500 0.155 0.500
0.500 0.155 0.845
0.500 0.500 0.155
0.500 0.500 0.845
0.500 0.845 0.155
0.500 0.845 0.500
0.599 0.134 0.134
0.845 0.155 0.500
0.845 0.500 0.155
0.845 0.500 0.500
0.866 0.401 0.866
0.866 0.866 0.401
0.866 0.866 0.866
```

Results
SG   Fm-3m
Calculated total energy   -0.89 eV/atom
D(E_F)   9.483 states/eV/cell
Calculated formation energy   0.01 eV/atom
Calculated density   9.37 g/cm3